Entry 1:
First-principles (PBE) data for Tb5Pm2Sm4 after structural relaxation, as listed in Alexandria.

Results
* energy above the most stable polymorph in this dataset: 1.8 kJ per mole of atoms
* symmetry: C2/m
* ΔE_f: 1.578 eV/f.u.

a = 12.1673 Å, b = 12.1673 Å, c = 8.8212 Å
α = 96.67°, β = 96.67°, γ = 16.46°
Fractional positions:
Tb: 0.0000 0.0000 0.0000
Tb: 0.2679 0.2679 0.1731
Tb: 0.3583 0.3583 0.8826
Tb: 0.6417 0.6417 0.1174
Tb: 0.7321 0.7321 0.8269
Pm: 0.4095 0.4095 0.2617
Pm: 0.5905 0.5905 0.7383
Sm: 0.1783 0.1783 0.4707
Sm: 0.4543 0.4543 0.6409
Sm: 0.5457 0.5457 0.3591
Sm: 0.8217 0.8217 0.5293



Entry 2:
First-principles (PBE) data for Tb2PmSm2 after structural relaxation, as listed in Alexandria.

Results
* energy above the most stable polymorph in this dataset: 13.2 kJ per mole of atoms
* symmetry: C2/c
* ΔE_f: 1.318 eV/f.u.

a = 7.9223 Å, b = 7.9223 Å, c = 6.3865 Å
α = 100.46°, β = 100.46°, γ = 114.01°
Fractional positions:
Tb: 0.1798 0.8202 0.7500
Tb: 0.3011 0.6989 0.2500
Tb: 0.6989 0.3011 0.7500
Tb: 0.8202 0.1798 0.2500
Pm: 0.4298 0.5702 0.7500
Pm: 0.5702 0.4298 0.2500
Sm: 0.1147 0.2363 0.9207
Sm: 0.2363 0.1147 0.4207
Sm: 0.7637 0.8853 0.5793
Sm: 0.8853 0.7637 0.0793



Entry 3:
First-principles (PBE) data for Tb3Pm8Sm2 after structural relaxation, as listed in Alexandria.

Results
* energy above the most stable polymorph in this dataset: 18.9 kJ per mole of atoms
* symmetry: C2/m
* ΔE_f: 2.742 eV/f.u.

a = 10.9913 Å, b = 10.9913 Å, c = 5.7151 Å
α = 90.03°, β = 90.03°, γ = 41.10°
Fractional positions:
Tb: 0.0000 0.0000 0.0000
Tb: 0.2866 0.7134 0.5000
Tb: 0.7134 0.2866 0.5000
Pm: 0.1311 0.1311 0.4996
Pm: 0.1887 0.6008 0.0000
Pm: 0.3292 0.3292 0.4996
Pm: 0.3992 0.8113 0.0000
Pm: 0.6008 0.1887 0.0000
Pm: 0.6708 0.6708 0.5004
Pm: 0.8113 0.3992 0.0000
Pm: 0.8689 0.8689 0.5004
Sm: 0.2404 0.2404 0.9993
Sm: 0.7596 0.7596 0.0007



Entry 4:
First-principles (PBE) data for Tb4Pm4Sm after structural relaxation, as listed in Alexandria.

Results
* energy above the most stable polymorph in this dataset: 0.0 kJ per mole of atoms
* symmetry: I4/mmm
* ΔE_f: 0.134 eV/f.u.

a = 8.0689 Å, b = 8.0689 Å, c = 8.0689 Å
α = 95.72°, β = 95.72°, γ = 143.18°
Fractional positions:
Tb: 0.1664 0.1664 0.3329
Tb: 0.1664 0.8336 0.0000
Tb: 0.8336 0.1664 0.0000
Tb: 0.8336 0.8336 0.6671
Pm: 0.1680 0.5000 0.6680
Pm: 0.5000 0.1680 0.6680
Pm: 0.5000 0.8320 0.3320
Pm: 0.8320 0.5000 0.3320
Sm: 0.5000 0.5000 0.0000



Entry 5:
First-principles (PBE) data for TbPm4Sm8 after structural relaxation, as listed in Alexandria.

Results
* symmetry: R-3m
* ΔE_f: 2.412 eV/f.u.

a = 10.2760 Å, b = 10.2760 Å, c = 10.2760 Å
α = 42.38°, β = 42.38°, γ = 42.38°
Fractional positions:
Tb: 0.0000 0.0000 0.0000
Pm: 0.0000 0.0000 0.5000
Pm: 0.0000 0.5000 0.0000
Pm: 0.5000 0.0000 0.0000
Pm: 0.5000 0.5000 0.5000
Sm: 0.2505 0.2505 0.6957
Sm: 0.2505 0.6957 0.2505
Sm: 0.2845 0.2845 0.2845
Sm: 0.3043 0.7495 0.7495
Sm: 0.6957 0.2505 0.2505
Sm: 0.7155 0.7155 0.7155
Sm: 0.7495 0.3043 0.7495
Sm: 0.7495 0.7495 0.3043



Entry 6:
First-principles (PBE) data for TbPm2Sm after structural relaxation, as listed in Alexandria.

Results
* energy above the most stable polymorph in this dataset: 0.4 kJ per mole of atoms
* symmetry: P4/mmm
* ΔE_f: 0.067 eV/f.u.

a = 5.1220 Å, b = 5.1220 Å, c = 5.1157 Å
α = 90.00°, β = 90.00°, γ = 90.00°
Fractional positions:
Tb: 0.0000 0.0000 0.0000
Pm: 0.0000 0.5000 0.5000
Pm: 0.5000 0.0000 0.5000
Sm: 0.5000 0.5000 0.0000



Entry 7:
First-principles (PBE) data for Tb8PmSm6 after structural relaxation, as listed in Alexandria.

Results
* symmetry: R-3
* ΔE_f: 1.857 eV/f.u.

a = 8.7059 Å, b = 8.7059 Å, c = 8.7059 Å
α = 63.26°, β = 63.26°, γ = 63.26°
Fractional positions:
Tb: 0.0766 0.0766 0.0766
Tb: 0.2196 0.6115 0.2454
Tb: 0.2454 0.2196 0.6115
Tb: 0.3885 0.7546 0.7804
Tb: 0.6115 0.2454 0.2196
Tb: 0.7546 0.7804 0.3885
Tb: 0.7804 0.3885 0.7546
Tb: 0.9234 0.9234 0.9234
Pm: 0.5000 0.5000 0.5000
Sm: 0.0381 0.6050 0.7315
Sm: 0.2685 0.9619 0.3950
Sm: 0.3950 0.2685 0.9619
Sm: 0.6050 0.7315 0.0381
Sm: 0.7315 0.0381 0.6050
Sm: 0.9619 0.3950 0.2685



Entry 8:
First-principles (PBE) data for TbPmSm2 after structural relaxation, as listed in Alexandria.

Results
* energy above the most stable polymorph in this dataset: 3.2 kJ per mole of atoms
* symmetry: Amm2
* ΔE_f: 0.186 eV/f.u.

a = 5.6343 Å, b = 6.9315 Å, c = 6.9315 Å
α = 29.78°, β = 90.00°, γ = 90.00°
Fractional positions:
Tb: 0.0000 0.0000 0.0000
Pm: 0.5000 0.1269 0.1269
Sm: 0.0000 0.7396 0.7396
Sm: 0.5000 0.3868 0.3868



Entry 9:
First-principles (PBE) data for Tb2PmSm after structural relaxation, as listed in Alexandria.

Results
* energy above the most stable polymorph in this dataset: 3.7 kJ per mole of atoms
* symmetry: Amm2
* ΔE_f: 0.201 eV/f.u.

a = 5.6093 Å, b = 6.8660 Å, c = 6.8660 Å
α = 30.05°, β = 90.00°, γ = 90.00°
Fractional positions:
Tb: 0.0000 0.0000 0.0000
Tb: 0.5000 0.3564 0.3564
Pm: 0.0000 0.7413 0.7413
Sm: 0.5000 0.6151 0.6151



Entry 10:
First-principles (PBE) data for Tb5PmSm8 after structural relaxation, as listed in Alexandria.

Results
* symmetry: I-4
* ΔE_f: 3.385 eV/f.u.

a = 8.5382 Å, b = 8.5382 Å, c = 8.5382 Å
α = 111.43°, β = 111.43°, γ = 105.62°
Fractional positions:
Tb: 0.0000 0.0000 0.0000
Tb: 0.3178 0.6343 0.0978
Tb: 0.3657 0.4635 0.6836
Tb: 0.5365 0.2200 0.9022
Tb: 0.7800 0.6822 0.3164
Pm: 0.7500 0.2500 0.5000
Sm: 0.0306 0.4256 0.2541
Sm: 0.0684 0.1605 0.7360
Sm: 0.1715 0.7766 0.7459
Sm: 0.2234 0.9694 0.3949
Sm: 0.4245 0.3324 0.2640
Sm: 0.5744 0.8285 0.6051
Sm: 0.6676 0.9316 0.0920
Sm: 0.8395 0.5755 0.9080



Entry 11:
First-principles (PBE) data for Tb7Pm2Sm3 after structural relaxation, as listed in Alexandria.

Results
* energy above the most stable polymorph in this dataset: 1.1 kJ per mole of atoms
* symmetry: P2/m
* ΔE_f: 1.001 eV/f.u.

a = 5.8587 Å, b = 3.5963 Å, c = 18.9065 Å
α = 90.00°, β = 93.28°, γ = 90.00°
Fractional positions:
Tb: 0.0000 0.0000 0.0000
Tb: 0.1885 0.5000 0.1744
Tb: 0.2573 0.5000 0.5375
Tb: 0.3135 0.0000 0.8573
Tb: 0.6865 0.0000 0.1427
Tb: 0.7427 0.5000 0.4625
Tb: 0.8115 0.5000 0.8256
Pm: 0.2894 0.5000 0.7065
Pm: 0.7106 0.5000 0.2935
Sm: 0.2228 0.0000 0.3681
Sm: 0.5000 0.5000 0.0000
Sm: 0.7772 0.0000 0.6319



Entry 12:
First-principles (PBE) data for Tb7PmSm4 after structural relaxation, as listed in Alexandria.

Results
* energy above the most stable polymorph in this dataset: 0.0 kJ per mole of atoms
* symmetry: P-1
* ΔE_f: 1.016 eV/f.u.

a = 6.5615 Å, b = 6.8670 Å, c = 9.1325 Å
α = 85.68°, β = 77.02°, γ = 82.19°
Fractional positions:
Tb: 0.0000 0.0000 0.0000
Tb: 0.1910 0.6035 0.3866
Tb: 0.3170 0.1980 0.6400
Tb: 0.4860 0.7501 0.0518
Tb: 0.5140 0.2499 0.9482
Tb: 0.6830 0.8020 0.3600
Tb: 0.8090 0.3965 0.6134
Pm: 0.0000 0.5000 0.0000
Sm: 0.1618 0.1115 0.3109
Sm: 0.3598 0.6931 0.7163
Sm: 0.6402 0.3069 0.2837
Sm: 0.8382 0.8885 0.6891



Entry 13:
First-principles (PBE) data for TbPm7Sm4 after structural relaxation, as listed in Alexandria.

Results
* energy above the most stable polymorph in this dataset: 23.1 kJ per mole of atoms
* symmetry: C2/m
* ΔE_f: 2.972 eV/f.u.

a = 6.7898 Å, b = 6.7898 Å, c = 12.8919 Å
α = 114.73°, β = 114.73°, γ = 53.03°
Fractional positions:
Tb: 0.0000 0.0000 0.0000
Pm: 0.1305 0.1305 0.5004
Pm: 0.2559 0.2559 0.3197
Pm: 0.2897 0.2897 0.0784
Pm: 0.5000 0.5000 0.0000
Pm: 0.7103 0.7103 0.9216
Pm: 0.7441 0.7441 0.6803
Pm: 0.8695 0.8695 0.4996
Sm: 0.1362 0.1362 0.7773
Sm: 0.4380 0.4380 0.6759
Sm: 0.5620 0.5620 0.3241
Sm: 0.8638 0.8638 0.2227



Entry 14:
First-principles (PBE) data for Tb3Pm2Sm7 after structural relaxation, as listed in Alexandria.

Results
* energy above the most stable polymorph in this dataset: 0.0 kJ per mole of atoms
* symmetry: P2/m
* ΔE_f: 0.820 eV/f.u.

a = 6.4564 Å, b = 3.5837 Å, c = 17.4757 Å
α = 90.00°, β = 90.12°, γ = 90.00°
Fractional positions:
Tb: 0.0000 0.0000 0.0000
Tb: 0.4983 0.5000 0.6594
Tb: 0.5017 0.5000 0.3406
Pm: 0.0109 0.0000 0.3285
Pm: 0.9891 0.0000 0.6715
Sm: 0.1765 0.5000 0.1649
Sm: 0.2580 0.0000 0.5026
Sm: 0.3259 0.0000 0.8324
Sm: 0.5000 0.5000 0.0000
Sm: 0.6741 0.0000 0.1676
Sm: 0.7420 0.0000 0.4974
Sm: 0.8235 0.5000 0.8351



Entry 15:
First-principles (PBE) data for Tb4Pm2Sm7 after structural relaxation, as listed in Alexandria.

Results
* symmetry: P-1
* ΔE_f: 0.185 eV/f.u.

a = 6.2450 Å, b = 8.0745 Å, c = 9.5550 Å
α = 65.04°, β = 83.79°, γ = 82.56°
Fractional positions:
Tb: 0.0380 0.4235 0.3472
Tb: 0.1927 0.1167 0.7294
Tb: 0.8073 0.8833 0.2706
Tb: 0.9620 0.5765 0.6528
Pm: 0.3452 0.8076 0.1158
Pm: 0.6548 0.1924 0.8842
Sm: 0.1145 0.2695 0.0385
Sm: 0.2687 0.9617 0.4231
Sm: 0.4238 0.6544 0.8067
Sm: 0.5000 0.5000 0.5000
Sm: 0.5762 0.3456 0.1933
Sm: 0.7313 0.0383 0.5769
Sm: 0.8855 0.7305 0.9615



Entry 16:
First-principles (PBE) data for Tb12PmSm2 after structural relaxation, as listed in Alexandria.

Results
* symmetry: C2/m
* ΔE_f: 1.621 eV/f.u.

a = 6.6635 Å, b = 6.6635 Å, c = 24.5466 Å
α = 92.23°, β = 92.23°, γ = 115.36°
Fractional positions:
Tb: 0.0494 0.5500 0.2012
Tb: 0.0816 0.5824 0.3305
Tb: 0.1369 0.6391 0.5552
Tb: 0.1436 0.1436 0.5722
Tb: 0.2164 0.2164 0.8632
Tb: 0.2325 0.7326 0.9261
Tb: 0.2674 0.7675 0.0739
Tb: 0.2836 0.2836 0.1371
Tb: 0.3584 0.3584 0.4265
Tb: 0.3609 0.8631 0.4448
Tb: 0.4176 0.9184 0.6695
Tb: 0.4500 0.9506 0.7988
Tb: 0.5500 0.0494 0.2012
Tb: 0.5824 0.0816 0.3305
Tb: 0.6391 0.1369 0.5552
Tb: 0.6416 0.6416 0.5735
Tb: 0.7164 0.7164 0.8629
Tb: 0.7326 0.2325 0.9261
Tb: 0.7675 0.2674 0.0739
Tb: 0.7836 0.7836 0.1368
Tb: 0.8564 0.8564 0.4278
Tb: 0.8631 0.3609 0.4448
Tb: 0.9184 0.4176 0.6695
Tb: 0.9506 0.4500 0.7988
Pm: 0.2501 0.2501 0.0002
Pm: 0.7499 0.7499 0.9998
Sm: 0.0683 0.0683 0.2730
Sm: 0.4326 0.4326 0.7273
Sm: 0.5674 0.5674 0.2727
Sm: 0.9317 0.9317 0.7270



Entry 17:
First-principles (PBE) data for Tb2Pm3Sm4 after structural relaxation, as listed in Alexandria.

Results
* energy above the most stable polymorph in this dataset: 0.0 kJ per mole of atoms
* symmetry: C2/m
* ΔE_f: 0.134 eV/f.u.

a = 8.1058 Å, b = 8.1058 Å, c = 10.8509 Å
α = 102.99°, β = 102.99°, γ = 25.80°
Fractional positions:
Tb: 0.1668 0.1668 0.2220
Tb: 0.8332 0.8332 0.7780
Pm: 0.1671 0.1671 0.5558
Pm: 0.5000 0.5000 0.0000
Pm: 0.8329 0.8329 0.4442
Sm: 0.1670 0.1670 0.8892
Sm: 0.5002 0.5002 0.3326
Sm: 0.4998 0.4998 0.6674
Sm: 0.8330 0.8330 0.1108



Entry 18:
First-principles (PBE) data for TbPm2Sm8 after structural relaxation, as listed in Alexandria.

Results
* energy above the most stable polymorph in this dataset: 13.8 kJ per mole of atoms
* symmetry: C2/m
* ΔE_f: 1.734 eV/f.u.

a = 9.0433 Å, b = 9.0433 Å, c = 6.7603 Å
α = 99.64°, β = 99.64°, γ = 44.07°
Fractional positions:
Tb: 0.0000 0.0000 0.0000
Pm: 0.1985 0.1985 0.8033
Pm: 0.8015 0.8015 0.1967
Sm: 0.1748 0.6496 0.5950
Sm: 0.2441 0.2441 0.3117
Sm: 0.3504 0.8252 0.4050
Sm: 0.4101 0.4101 0.0896
Sm: 0.5899 0.5899 0.9104
Sm: 0.6496 0.1748 0.5950
Sm: 0.7559 0.7559 0.6883
Sm: 0.8252 0.3504 0.4050



Entry 19:
First-principles (PBE) data for Tb4Pm5Sm3 after structural relaxation, as listed in Alexandria.

Results
* energy above the most stable polymorph in this dataset: 0.0 kJ per mole of atoms
* symmetry: P-1
* ΔE_f: 0.154 eV/f.u.

a = 6.2621 Å, b = 7.2257 Å, c = 8.8543 Å
α = 90.04°, β = 90.09°, γ = 90.07°
Fractional positions:
Tb: 0.1663 0.9997 0.1651
Tb: 0.3331 0.2486 0.8345
Tb: 0.6669 0.7514 0.1655
Tb: 0.8337 0.0003 0.8349
Pm: 0.0006 0.2488 0.5002
Pm: 0.1674 0.4997 0.1655
Pm: 0.5000 0.0000 0.5000
Pm: 0.8326 0.5003 0.8345
Pm: 0.9994 0.7512 0.4998
Sm: 0.3335 0.7514 0.8346
Sm: 0.5000 0.5000 0.5000
Sm: 0.6665 0.2486 0.1654



Entry 20:
First-principles (PBE) data for Tb5Pm2Sm12 after structural relaxation, as listed in Alexandria.

Results
* energy above the most stable polymorph in this dataset: 0.0 kJ per mole of atoms
* symmetry: C2/m
* ΔE_f: 1.896 eV/f.u.

a = 10.7130 Å, b = 10.7130 Å, c = 6.2204 Å
α = 100.73°, β = 100.73°, γ = 66.27°
Fractional positions:
Tb: 0.0000 0.0000 0.0000
Tb: 0.2140 0.2140 0.0487
Tb: 0.3233 0.3233 0.6409
Tb: 0.6767 0.6767 0.3591
Tb: 0.7860 0.7860 0.9513
Pm: 0.2254 0.7746 0.5000
Pm: 0.7746 0.2254 0.5000
Sm: 0.0581 0.5444 0.2991
Sm: 0.1226 0.1226 0.4953
Sm: 0.1477 0.6455 0.8842
Sm: 0.3545 0.8523 0.1158
Sm: 0.4445 0.4445 0.2250
Sm: 0.4556 0.9419 0.7009
Sm: 0.5444 0.0581 0.2991
Sm: 0.5555 0.5555 0.7750
Sm: 0.6455 0.1477 0.8842
Sm: 0.8523 0.3545 0.1158
Sm: 0.8774 0.8774 0.5047
Sm: 0.9419 0.4556 0.7009